{
  "formula": "LaMgWO2",
  "functional": "PBE with a Hubbard U",
  "state": "optimized geometry",
  "final_energy_ev_per_atom": -4.9786,
  "rho_g_cm3": 6.8,
  "cell": [[-4.065, 1.321, -0.272], [-1.310, -4.432, -1.947], [-0.753, -1.507, 3.937]],
  "species": ["Mg", "W", "O", "La", "O"],
  "frac_coords": [[0.000, 0.000, 0.000], [0.000, 0.500, 0.000], [0.000, 0.000, 0.500], [0.500, 0.500, 0.500], [0.500, 0.000, 0.000]]
}